Record 1
{"formula": "ZrFeSb2", "functional": "GGA-PBEsol", "state": "relaxed", "lattice_angstrom": [[-0.088, 3.291, -0.164], [-0.468, -0.539, 3.218], [7.046, 0.240, 1.064]], "species": ["Sb", "Sb", "Zr", "Fe"], "frac_coords": [[0.000, 0.000, 0.784], [0.000, 0.000, 0.216], [0.500, 0.500, 0.500], [0.500, 0.500, 0.000]], "dft_energy_ev_per_fu": -27.5, "relative_energy_ev_per_atom": 0.000, "magmom_total_mub_per_fu": 1.1, "raw_formation_energy_ev_per_atom": -0.094, "dos_ef_per_ev_atom": 0.432}



Record 2
{"formula": "ZrFe2Sb", "functional": "GGA-PBEsol", "state": "relaxed", "lattice_angstrom": [[3.185, 0.000, 0.000], [0.000, 4.029, 0.000], [0.000, 0.000, 5.342]], "species": ["Fe", "Sb", "Fe", "Zr"], "frac_coords": [[0.500, 0.000, 0.708], [0.500, 0.500, 0.000], [0.500, 0.000, 0.292], [0.000, 0.500, 0.500]], "dft_energy_ev_per_fu": -31.5, "magmom_total_mub_per_fu": 3.2, "raw_formation_energy_ev_per_atom": 0.028, "dos_ef_per_ev_atom": 0.830}



Record 3
{"formula": "ZrFe4Sb", "functional": "GGA-PBEsol", "state": "relaxed", "lattice_angstrom": [[-2.949, -1.827, 3.415], [1.343, -3.942, 2.519], [1.181, 0.404, 4.705]], "species": ["Sb", "Fe", "Fe", "Zr", "Fe", "Fe"], "frac_coords": [[0.750, 0.750, 0.750], [0.374, 0.374, 0.374], [0.374, 0.374, 0.877], [0.000, 0.000, 0.000], [0.374, 0.877, 0.374], [0.877, 0.374, 0.374]], "dft_energy_ev_per_fu": -50.6, "magmom_total_mub_per_fu": 6.9, "raw_formation_energy_ev_per_atom": -0.177, "dos_ef_per_ev_atom": 0.551}



Record 4
{"formula": "Sc2Fe", "functional": "GGA-PBEsol", "state": "relaxed", "lattice_angstrom": [[3.171, 0.000, 0.000], [0.000, 4.758, 0.000], [-1.585, 0.000, 6.936]], "species": ["Sc", "Sc", "Fe", "Sc", "Fe", "Sc"], "frac_coords": [[0.070, 0.750, 0.140], [0.930, 0.250, 0.860], [0.426, 0.750, 0.853], [0.789, 0.750, 0.579], [0.574, 0.250, 0.147], [0.211, 0.250, 0.421]], "dft_energy_ev_per_fu": -22.3, "magmom_total_mub_per_fu": 0.0, "formation_enthalpy_0k_ev_per_atom": -0.053, "dos_ef_per_ev_atom": 0.949}